## a
This record from Alexandria describes an optimized crystal structure of YRuC. The functional is PBE.

Cell and atoms, written as POSCAR:
```
YRuC
1.0
3.555 0.000 0.000
0.000 3.555 0.000
0.000 0.000 3.918
Ru Y C
1 1 1
Direct
0.500 0.500 0.500 Ru
0.000 0.000 0.000 Y
0.500 0.500 0.000 C
```

Calculated values
Theoretical density (Mg/m³): 6.8
Symmetry: P4/mmm (123)


## b
This record from Alexandria describes an optimized crystal structure of YRuC. The functional is PBE.

Cell and atoms, written as POSCAR:
```
YRuC
1.0
3.312 0.000 0.000
0.000 5.727 -0.639
-1.656 -1.088 5.287
Y Ru C
2 2 2
Direct
0.892 0.673 0.784 Y
0.108 0.327 0.216 Y
0.660 0.861 0.320 Ru
0.340 0.139 0.680 Ru
0.241 0.764 0.482 C
0.759 0.236 0.518 C
```

Calculated values
Theoretical density (Mg/m³): 6.8
Symmetry: C2/m (12)


Stability verdict: a, ahead by 0.016 eV/atom


## a
This record from Alexandria describes an optimized crystal structure of Y2RuC2. The functional is PBE.

Cell and atoms, written as POSCAR:
```
Y2RuC2
1.0
-2.190 3.744 -2.731
-4.754 0.419 4.387
5.186 6.670 4.983
Y Ru C
8 4 8
Direct
0.750 0.027 0.284 Y
0.750 0.527 0.216 Y
0.250 0.322 0.446 Y
0.250 0.473 0.784 Y
0.750 0.178 0.946 Y
0.750 0.678 0.554 Y
0.250 0.973 0.716 Y
0.250 0.822 0.054 Y
0.750 0.721 0.864 Ru
0.250 0.279 0.136 Ru
0.250 0.779 0.364 Ru
0.750 0.221 0.636 Ru
0.750 0.457 0.758 C
0.750 0.824 0.052 C
0.250 0.176 0.948 C
0.250 0.043 0.258 C
0.750 0.957 0.742 C
0.250 0.543 0.242 C
0.250 0.676 0.552 C
0.750 0.324 0.448 C
```

Calculated values
Theoretical density (Mg/m³): 6.2
Symmetry: Pnma (62)


## b
This record from Alexandria describes an optimized crystal structure of Y2RuC2. The functional is PBE.

Cell and atoms, written as POSCAR:
```
Y2RuC2
1.0
5.055 0.000 0.000
-2.528 5.545 -0.149
0.000 -3.137 5.976
C Ru Y
4 2 4
Direct
0.511 0.022 0.782 C
0.489 0.978 0.218 C
0.821 0.643 0.398 C
0.179 0.357 0.602 C
0.635 0.271 0.128 Ru
0.365 0.729 0.872 Ru
0.679 0.357 0.614 Y
0.032 0.064 0.775 Y
0.968 0.936 0.225 Y
0.321 0.643 0.386 Y
```

Calculated values
Theoretical density (Mg/m³): 6.1
Symmetry: C2/m (12)


Stability verdict: a, ahead by 0.028 eV/atom


## a
This record from Alexandria describes an optimized crystal structure of Zn3RuC. The functional is PBE.

Cell and atoms, written as POSCAR:
```
Zn3RuC
1.0
4.768 0.000 0.000
0.000 4.768 0.000
0.000 0.000 4.768
C Zn Ru
1 3 1
Direct
0.500 0.500 0.500 C
0.000 0.000 0.500 Zn
0.000 0.500 0.000 Zn
0.500 0.000 0.000 Zn
0.000 0.000 0.000 Ru
```

Calculated values
Theoretical density (Mg/m³): 4.7
Symmetry: Pm-3m (221)


## b
This record from Alexandria describes an optimized crystal structure of Zn3RuC. The functional is PBE.

Cell and atoms, written as POSCAR:
```
Zn3RuC
1.0
-1.007 3.075 -2.424
-3.855 -0.341 1.169
0.684 2.603 3.017
Zn Ru C
3 1 1
Direct
0.000 0.000 0.500 Zn
0.000 0.500 0.000 Zn
0.500 0.000 0.000 Zn
0.500 0.500 0.500 Ru
0.000 0.000 0.000 C
```

Calculated values
Theoretical density (Mg/m³): 7.8
Symmetry: Pm-3m (221)


Stability verdict: b, ahead by 1.059 eV/atom


## a
This record from Alexandria describes an optimized crystal structure of Zr2Ru2C. The functional is PBE.

Cell and atoms, written as POSCAR:
```
Zr2Ru2C
1.0
-4.577 2.375 1.153
-2.108 -1.900 -4.457
-4.327 -2.439 -0.046
Ru Zr C
2 2 1
Direct
0.286 0.286 0.427 Ru
0.714 0.714 0.573 Ru
0.250 0.750 0.500 Zr
0.750 0.250 0.500 Zr
0.000 0.000 0.000 C
```

Calculated values
Theoretical density (Mg/m³): 7.2
Symmetry: I4/mmm (139)


## b
This record from Alexandria describes an optimized crystal structure of Zr2Ru2C. The functional is PBE.

Cell and atoms, written as POSCAR:
```
Zr2Ru2C
1.0
-1.150 5.084 -2.322
-4.810 0.307 3.055
2.381 2.152 3.532
Zr Ru C
4 4 2
Direct
0.674 0.826 0.500 Zr
0.326 0.174 0.500 Zr
0.826 0.326 0.500 Zr
0.174 0.674 0.500 Zr
0.165 0.335 0.000 Ru
0.835 0.665 0.000 Ru
0.665 0.165 0.000 Ru
0.335 0.835 0.000 Ru
0.500 0.500 0.000 C
0.000 0.000 0.000 C
```

Calculated values
Theoretical density (Mg/m³): 8.5
Symmetry: P4/mbm (127)


Stability verdict: b, ahead by 0.280 eV/atom


## a
This record from Alexandria describes an optimized crystal structure of ZrRuC2. The functional is PBE.

Cell and atoms, written as POSCAR:
```
ZrRuC2
1.0
0.000 2.792 2.792
2.792 0.000 2.792
2.792 2.792 0.000
C Ru Zr
2 1 1
Direct
0.250 0.250 0.250 C
0.750 0.750 0.750 C
0.500 0.500 0.500 Ru
0.000 0.000 0.000 Zr
```

Calculated values
Theoretical density (Mg/m³): 8.3
Symmetry: Fm-3m (225)


## b
This record from Alexandria describes an optimized crystal structure of ZrRuC2. The functional is PBE.

Cell and atoms, written as POSCAR:
```
ZrRuC2
1.0
4.699 0.000 0.000
0.000 4.699 0.000
2.349 2.349 5.078
C Ru Zr
4 2 2
Direct
0.074 0.625 0.250 C
0.375 0.324 0.750 C
0.676 0.125 0.250 C
0.875 0.926 0.750 C
0.750 0.250 0.500 Ru
0.000 0.000 0.000 Ru
0.250 0.750 0.500 Zr
0.500 0.500 0.000 Zr
```

Calculated values
Theoretical density (Mg/m³): 6.4
Symmetry: I-42d (122)


Stability verdict: b, ahead by 0.308 eV/atom


## a
This record from Alexandria describes an optimized crystal structure of SbCS2. The functional is PBE.

Cell and atoms, written as POSCAR:
```
SbCS2
1.0
6.666 -4.535 1.161
7.874 -1.857 -0.947
7.590 -1.360 2.623
Sb C S
1 1 2
Direct
0.500 0.500 0.500 Sb
0.000 0.000 0.000 C
0.933 0.933 0.933 S
0.067 0.067 0.067 S
```

Calculated values
Theoretical density (Mg/m³): 3.7
Symmetry: R-3m (166)


## b
This record from Alexandria describes an optimized crystal structure of SbCS2. The functional is PBE.

Cell and atoms, written as POSCAR:
```
SbCS2
1.0
4.981 2.206 5.893
6.924 2.303 3.341
5.027 4.803 4.009
Sb S C
1 2 1
Direct
0.000 0.000 0.000 Sb
0.115 0.115 0.115 S
0.885 0.885 0.885 S
0.500 0.500 0.500 C
```

Calculated values
Theoretical density (Mg/m³): 4.7
Symmetry: R-3m (166)


## c
This record from Alexandria describes an optimized crystal structure of SbCS2. The functional is PBE.

Cell and atoms, written as POSCAR:
```
SbCS2
1.0
-4.602 -2.700 2.030
3.358 -3.284 3.245
-0.924 0.148 6.128
S Sb C
4 2 2
Direct
0.375 0.514 0.750 S
0.264 0.625 0.250 S
0.875 0.736 0.750 S
0.486 0.125 0.250 S
0.750 0.250 0.500 Sb
0.000 0.000 0.000 Sb
0.500 0.500 0.000 C
0.250 0.750 0.500 C
```

Calculated values
Theoretical density (Mg/m³): 4.3
Symmetry: I-42d (122)


## d
This record from Alexandria describes an optimized crystal structure of SbCS2. The functional is PBE.

Cell and atoms, written as POSCAR:
```
SbCS2
1.0
0.287 1.119 4.403
-3.240 2.562 1.914
-2.877 -1.842 3.009
S C Sb
2 1 1
Direct
0.250 0.250 0.250 S
0.750 0.750 0.750 S
0.000 0.000 0.000 C
0.500 0.500 0.500 Sb
```

Calculated values
Theoretical density (Mg/m³): 4.9
Symmetry: Fm-3m (225)


Stability verdict: a, ahead by 0.473 eV/atom